Entry 1:
{"formula": "KCdInAsCl", "functional": "PBE", "state": "relaxed", "cell": [[4.594, 0.000, 0.000], [-2.297, 3.979, 0.000], [0.000, 0.000, 9.099]], "species": ["K", "Cd", "In", "As", "Cl"], "frac_coords": [[0.000, 0.000, 0.000], [0.333, 0.667, 0.343], [0.667, 0.333, 0.601], [0.000, 0.000, 0.382], [0.333, 0.667, 0.847]], "de_polymorph_ev_per_atom": 0.011, "crystal_system": "trigonal", "formation_energy_uncorrected_ev_per_atom": -0.6428, "spacegroup": "No. 156", "total_magnetization_mub_per_cell": 0.0}


Entry 2:
{"formula": "KCdInAsCl", "functional": "PBE", "state": "relaxed", "cell": [[6.501, -2.148, 0.000], [6.501, 2.148, 0.000], [-4.498, 0.000, 6.285]], "species": ["K", "Cd", "In", "As", "Cl"], "frac_coords": [[0.000, 0.000, 0.000], [0.932, 0.932, 0.465], [0.176, 0.176, 0.573], [0.720, 0.720, 0.420], [0.323, 0.323, 0.992]], "de_polymorph_ev_per_atom": 0.051, "crystal_system": "monoclinic", "formation_energy_uncorrected_ev_per_atom": -0.6031, "spacegroup": "No. 8", "total_magnetization_mub_per_cell": 0.0}


Entry 3:
{"formula": "KCdInAsCl", "functional": "PBE", "state": "relaxed", "cell": [[5.362, -2.172, 0.000], [5.362, 2.172, 0.000], [-4.174, 0.000, 6.624]], "species": ["K", "Cd", "In", "As", "Cl"], "frac_coords": [[0.000, 0.000, 0.000], [0.844, 0.844, 0.438], [0.581, 0.581, 0.574], [0.240, 0.240, 0.544], [0.717, 0.717, 0.021]], "de_polymorph_ev_per_atom": 0.054, "crystal_system": "monoclinic", "formation_energy_uncorrected_ev_per_atom": -0.6004, "spacegroup": "No. 8", "total_magnetization_mub_per_cell": 0.0}


Entry 4:
{"formula": "K2CdAsCl6", "functional": "PBE", "state": "relaxed", "cell": [[5.262, -5.276, 0.000], [5.262, 5.276, 0.000], [-5.225, 0.000, 5.274]], "species": ["K", "K", "Cd", "As", "Cl", "Cl", "Cl", "Cl", "Cl", "Cl"], "frac_coords": [[0.250, 0.750, 0.000], [0.750, 0.250, 0.000], [0.000, 0.000, 0.500], [0.500, 0.500, 0.500], [0.255, 0.255, 0.500], [0.258, 0.258, 0.015], [0.258, 0.742, 0.500], [0.742, 0.258, 0.500], [0.742, 0.742, 0.985], [0.745, 0.745, 0.500]], "crystal_system": "monoclinic", "formation_energy_uncorrected_ev_per_atom": -1.1620, "spacegroup": "No. 12", "total_magnetization_mub_per_cell": 0.0}